VASP calculation (GGA-PBE) on a relaxed Li2TmSb crystal.

Unit cell a=4.328 b=4.328 c=4.751 alpha=90.00 beta=90.00 gamma=90.00
Atoms (fractional coordinates):
Li 0.000 0.500 0.000
Li 0.500 0.000 0.000
Tm 0.000 0.000 0.500
Sb 0.500 0.500 0.500

## Properties
formation energy from raw total energies = -532 meV/atom
symmetry = P4/mmm

=====

VASP calculation (GGA-PBE) on a relaxed LiCo2Hg crystal.

Unit cell a=5.011 b=5.011 c=5.011 alpha=142.24 beta=134.44 gamma=60.61
Atoms (fractional coordinates):
Li 0.000 0.000 0.000
Co 0.246 0.746 0.500
Co 0.754 0.254 0.500
Hg 0.500 0.500 0.000

## Properties
E_form = 0.220 eV per atom
symmetry = Immm

=====

VASP calculation (GGA-PBE) on a relaxed Pm8GaCu2 crystal.

Unit cell a=8.156 b=8.156 c=5.482 alpha=99.39 beta=99.39 gamma=114.92
Atoms (fractional coordinates):
Pm 0.000 0.000 0.000
Pm 0.064 0.307 0.606
Pm 0.152 0.622 0.187
Pm 0.307 0.064 0.606
Pm 0.466 0.708 0.769
Pm 0.622 0.152 0.187
Pm 0.708 0.466 0.769
Pm 0.773 0.773 0.375
Ga 0.387 0.387 0.187
Cu 0.077 0.695 0.687
Cu 0.695 0.077 0.687

## Properties
E_form = -0.046 eV per atom
symmetry = Cm

=====

VASP calculation (GGA-PBE) on a relaxed Np2TeH2Se2 crystal.

Unit cell a=11.392 b=11.392 c=11.392 alpha=19.76 beta=19.76 gamma=19.76
Atoms (fractional coordinates):
Np 0.233 0.233 0.233
Np 0.767 0.767 0.767
Te 0.500 0.500 0.500
H 0.105 0.105 0.105
H 0.895 0.895 0.895
Se 0.384 0.384 0.384
Se 0.616 0.616 0.616

## Properties
VASP energy = -0.249 hartree per atom
symmetry = R-3m

=====

VASP calculation (GGA-PBE) on a relaxed ZnCuCl3 crystal.

Unit cell a=4.836 b=4.836 c=4.836 alpha=90.00 beta=90.00 gamma=90.00
Atoms (fractional coordinates):
Zn 0.000 0.000 0.000
Cu 0.500 0.500 0.500
Cl 0.000 0.000 0.500
Cl 0.000 0.500 0.000
Cl 0.500 0.000 0.000

## Properties
formation energy from raw total energies = -304 meV/atom
symmetry = Pm-3m

=====

VASP calculation (GGA-PBE) on a relaxed Cd3HAu crystal.

Unit cell a=4.435 b=4.435 c=4.435 alpha=90.00 beta=90.00 gamma=90.00
Atoms (fractional coordinates):
Cd 0.000 0.000 0.500
Cd 0.000 0.500 0.000
Cd 0.500 0.000 0.000
H 0.000 0.000 0.000
Au 0.500 0.500 0.500

## Properties
VASP energy = -0.062 hartree per atom
symmetry = Pm-3m

=====

| no. | total moment (μB/f.u.) |
| --- | --- |
| 1 | 0.0 |
| 2 | 3.2 |
| 3 | 0.0 |
| 4 | 6.0 |
| 5 | 0.0 |
| 6 | 0.0 |